# CsVO3

CsVO3 after structural relaxation (GGA+U, Alexandria via LeMat-Bulk).

Computed properties:
- E (eV/atom) = -6.554
- space group = No. 14
- total magnetization (μB/cell) = 0.00

Cell and atoms, written as POSCAR:
```
CsVO3
1.0
-1.6949 6.6900 -0.3735
-6.1507 -1.4546 1.8563
6.9366 2.3095 9.8905
O V Cs
12 4 4
direct
0.1808 0.7665 0.0060
0.0676 0.0300 0.4101
0.5000 0.4205 0.1229
0.5000 0.5795 0.8771
0.0000 0.5795 0.3771
0.3192 0.7665 0.5060
0.9324 0.9700 0.5899
0.0000 0.4205 0.6229
0.5676 0.9700 0.0899
0.6808 0.2335 0.4940
0.8192 0.2335 0.9940
0.4324 0.0300 0.9101
0.0933 0.8073 0.4697
0.4067 0.8073 0.9697
0.9067 0.1927 0.5303
0.5933 0.1927 0.0303
0.3735 0.2894 0.3340
0.1265 0.2894 0.8340
0.6265 0.7106 0.6660
0.8735 0.7106 0.1660
```